VASP calculation (PBE) on crystalline VCdAu at its relaxed geometry.

POSCAR file:
```
VCdAu
1.0
-0.5574 7.1338 3.0573
-0.6167 -1.2012 2.6903
9.0113 -3.3542 0.5682
V Cd Au
4 4 4
Direct
0.5565 0.5000 0.6766
0.4435 0.5000 0.3234
0.4435 0.0000 0.8234
0.5565 0.0000 0.1766
0.8993 0.0000 0.8344
0.8993 0.5000 0.3344
0.1007 0.5000 0.6656
0.1007 0.0000 0.1656
0.7270 0.5000 0.0113
0.2730 0.0000 0.4887
0.7270 0.0000 0.5113
0.2730 0.5000 0.9887
```

Summary:
- DFT total energy: -52.69 eV/cell
- Total magnetic moment: 0.897 Bohr magnetons per cell
- Formation enthalpy at 0 K: 46 meV per atom
- Polymorph energy (0 for the lowest one): 68 meV per atom
- N(E_F): 0.86 states/eV per atom